Here is a relaxed structure of PmThC2 from Alexandria. Energies are from PBE-GGA.

Results
ΔE_f = 229 meV per atom
Offset from the most stable computed form = 1.11 eV/f.u.

Cell and atoms, written as POSCAR:
```
PmThC2
1.0
3.673 0.000 0.000
-1.837 3.180 -0.002
0.000 -0.010 6.406
Pm Th C
1 1 2
Direct
0.000 0.500 0.500
0.000 0.500 0.000
0.667 0.833 0.766
0.333 0.167 0.234
```

Here is a relaxed structure of Dy3Ge3Pt2 from Alexandria. Energies are from PBE-GGA.

Results
ΔE_f = -1023 meV per atom

Cell and atoms, written as POSCAR:
```
Dy3Ge3Pt2
1.0
-0.894 3.824 4.156
-7.060 -3.429 1.637
6.503 -8.840 9.533
Dy Ge Pt
12 12 8
Direct
0.129 0.461 0.389
0.629 0.039 0.611
0.871 0.539 0.889
0.371 0.961 0.111
0.871 0.539 0.611
0.371 0.961 0.389
0.129 0.461 0.111
0.629 0.039 0.889
0.631 0.317 0.250
0.131 0.183 0.750
0.369 0.683 0.750
0.869 0.817 0.250
0.122 0.180 0.250
0.622 0.320 0.750
0.878 0.820 0.750
0.378 0.680 0.250
0.602 0.303 0.461
0.102 0.197 0.539
0.398 0.697 0.961
0.898 0.803 0.039
0.398 0.697 0.539
0.898 0.803 0.461
0.602 0.303 0.039
0.102 0.197 0.961
0.872 0.090 0.392
0.372 0.410 0.608
0.128 0.910 0.892
0.628 0.590 0.108
0.128 0.910 0.608
0.628 0.590 0.392
0.872 0.090 0.108
0.372 0.410 0.892
```

Here is a relaxed structure of MnAsSe2 from Alexandria. Energies are from PBE-GGA.

Results
ΔE_f (raw) = 4.3 kJ/mol of atoms

Cell and atoms, written as POSCAR:
```
MnAsSe2
1.0
-0.281 -2.751 -0.557
2.642 -0.448 0.882
-3.444 -1.576 9.516
As Mn Se
1 1 2
Direct
0.000 0.000 0.596
0.500 0.500 0.760
0.000 0.000 0.898
0.500 0.500 0.246
```